This record from Alexandria via LeMat-Bulk describes an optimized crystal structure of V2ZnO6. The functional is PBE with a Hubbard U. Values from VASP.

Results
Crystal system: monoclinic
E in eV per atom: -6.79
Mass density in kg/m3: 3095

```
&SYSTEM
  ibrav = 0, nat = 9, ntyp = 3
/
ATOMIC_SPECIES
V 50.94 V.upf
Zn 65.41 Zn.upf
O 16.00 O.upf
CELL_PARAMETERS angstrom
4.9363 -2.7321 0.0000
4.9363 2.7321 0.0000
-0.0067 0.0000 5.2378
ATOMIC_POSITIONS crystal
V 0.0000 0.0000 0.0000
V 0.1235 0.1235 0.5004
Zn 0.6323 0.6323 0.0008
O 0.2864 0.2864 0.5008
O 0.2885 0.8411 0.2424
O 0.2886 0.8411 0.7582
O 0.8301 0.8301 0.9996
O 0.8411 0.2885 0.2424
O 0.8411 0.2886 0.7582
```